No. 1
MgTlCuBr5 | PBE-GGA | relaxed

## Properties
total magnetization: 4.09 Bohr magnetons per cell
ΔE_f (raw): -0.82 eV/atom
DFT total energy: -2.87 eV per atom

Cell lengths 8.7274, 12.5088, 9.9291 Å; angles 90.00, 113.60, 90.00 degrees
Space group C2/c (No. 15)
Inequivalent atoms, fractional coordinates:
Mg: 0.0000 0.0000 0.0000 x4
Tl: 0.0000 0.3336 0.2500 x4
Cu: 0.0000 0.3206 0.7500 x4
Br: 0.0000 0.0692 0.2500 x4
Br: 0.0890 0.2044 0.5978 x8
Br: 0.1710 0.4436 0.9385 x8

No. 2
Tl2CoCu | PBE-GGA | relaxed

## Properties
E_form: 9.51 kcal/mol of atoms
total magnetization: 1.39 Bohr magnetons per cell
excess energy over the best structure of this formula in the dataset: 0.02 eV/f.u.
DFT total energy: -3.57 eV per atom

Cell lengths 3.2595, 3.2595, 7.5193 Å; angles 90.00, 90.00, 90.00 degrees
Space group P4mm (No. 99)
Inequivalent atoms, fractional coordinates:
Tl: 0.0000 0.0000 0.0000 x1
Tl: 0.5000 0.5000 0.3740 x1
Co: 0.0000 0.0000 0.6181 x1
Cu: 0.5000 0.5000 0.7471 x1

No. 3
Sr5Li2Tl12 | PBE-GGA | relaxed

## Properties
E_form: -5.59 kcal/mol of atoms
total magnetization: 0.00 Bohr magnetons per cell
DFT total energy: -2.38 eV per atom

Cell lengths 16.8727, 8.8166, 7.9889 Å; angles 90.00, 91.43, 90.00 degrees
Space group C2/m (No. 12)
Inequivalent atoms, fractional coordinates:
Sr: 0.0000 0.0000 0.0000 x2
Sr: 0.1965 0.5000 0.5404 x4
Sr: 0.2378 0.0000 0.9286 x4
Li: 0.0000 0.2876 0.5000 x4
Tl: 0.0457 0.5000 0.2109 x4
Tl: 0.0898 0.0000 0.5864 x4
Tl: 0.1123 0.3011 0.8556 x8
Tl: 0.1516 0.1975 0.2620 x8

No. 4
Er2Ni3P4 | PBE-GGA | relaxed

## Properties
E_form: -20.11 kcal/mol of atoms
total magnetization: 0.00 Bohr magnetons per cell
DFT total energy: -6.22 eV per atom

Cell lengths 5.3004, 14.3966, 6.9181 Å; angles 90.00, 90.00, 90.00 degrees
Space group Cmce (No. 64)
Inequivalent atoms, fractional coordinates:
Er: 0.0000 0.1138 0.0868 x8
Ni: 0.0000 0.0000 0.5000 x4
Ni: 0.2500 0.2119 0.7500 x8
P: 0.0000 0.1953 0.4558 x8
P: 0.2500 0.0501 0.7500 x8